## BeCu3Au (GGA-PBE)

Data for crystalline BeCu3Au at its relaxed geometry.

a b c (Å): 3.8025 5.0026 7.0075
angles (deg): 98.39 105.74 90.00
With the nearest neighbours (Å) after each atom.
Sites, in units of the cell vectors:
Be 0.8363 0.8253 0.6726  7 Cu 2.31-2.57, 2 Au 2.45
Be 0.1637 0.1747 0.3274  7 Cu 2.31-2.57, 2 Au 2.45
Cu 0.0415 0.7843 0.0830  1 Be 2.36, 4 Cu 2.57-2.58, 2 Au 2.64
Cu 0.9585 0.2157 0.9170  1 Be 2.36, 4 Cu 2.57-2.58, 2 Au 2.64
Cu 0.3323 0.0847 0.6647  3 Be 2.31-2.39, 5 Cu 2.49-2.57
Cu 0.6677 0.9153 0.3353  3 Be 2.31-2.39, 5 Cu 2.49-2.57
Cu 0.2165 0.6421 0.4330  3 Be 2.34-2.57, 6 Cu 2.49-2.62
Cu 0.7835 0.3579 0.5670  3 Be 2.34-2.57, 6 Cu 2.49-2.62
Au 0.5891 0.3806 0.1781  2 Be 2.45, 5 Cu 2.64-2.72
Au 0.4109 0.6194 0.8219  2 Be 2.45, 5 Cu 2.64-2.72

Summary:
Volume: 63 Å³/f.u.
ΔE to the lowest computed polymorph: 0 meV per atom
Space group: C2/m (12)
Energy: -38.66 eV for the cell shown